CrOsO4: relaxed, GGA+U.

Results
- energy (eV/atom) = -7.80
- Fermi-level density of states (states/eV per atom) = 0.4795
- total magnetic moment (Bohr magnetons per cell) = 11.51

a = 6.491 Å, b = 6.491 Å, c = 6.142 Å
α = 90.00°, β = 90.00°, γ = 90.00°
Space group I4_1md (No. 109)
Symmetry-distinct sites (fractional):
Cr1 0.000 0.000 0.000 (multiplicity 4)
Os1 0.000 0.000 0.507 (multiplicity 4)
O1 0.000 0.299 0.514 (multiplicity 8)
O2 0.000 0.306 0.002 (multiplicity 8)